Material: TiTlI
Method: DFT, GGA-PBE
State: relaxed

## Properties
formation energy from raw total energies	-134.4	meV/atom

```
TiTlI
1.0
15.184 0.000 0.000
0.000 1.782 3.087
0.000 -1.782 3.087
Ti Tl I
2 2 2
direct
0.144 0.000 0.000
0.856 0.000 0.000
0.000 0.667 0.667
0.500 0.677 0.677
0.265 0.667 0.667
0.735 0.667 0.667
```

Material: InRh4Cl
Method: DFT, GGA-PBE
State: relaxed

## Properties
formation energy from raw total energies	479.5	meV/atom

```
InRh4Cl
1.0
0.000 3.720 3.720
3.720 0.000 3.720
3.720 3.720 0.000
In Rh Cl
1 4 1
direct
0.000 0.000 0.000
0.125 0.625 0.625
0.625 0.125 0.625
0.625 0.625 0.125
0.625 0.625 0.625
0.250 0.250 0.250
```

Material: LaPr2DyTm
Method: DFT, GGA-PBE
State: relaxed

## Properties
ΔH_f (0 K)	276	meV/atom

```
LaPr2DyTm
1.0
8.694 0.000 0.000
0.000 6.518 0.000
-0.950 0.000 6.275
La Pr Dy Tm
2 4 2 2
direct
0.000 0.000 0.000
0.000 0.000 0.500
0.313 0.311 0.201
0.313 0.689 0.701
0.687 0.311 0.299
0.687 0.689 0.799
0.000 0.445 0.750
0.000 0.555 0.250
0.500 0.166 0.750
0.500 0.834 0.250
```

Material: Mn2ZnOs
Method: DFT, GGA-PBE
State: relaxed

## Properties
ΔH_f (0 K)	668	meV/atom

```
Mn2ZnOs
1.0
-3.407 3.407 2.573
3.407 -3.407 2.573
3.407 3.407 -2.573
Mn Zn Os
4 2 2
direct
0.110 0.125 0.485
0.375 0.890 0.015
0.640 0.625 0.515
0.875 0.360 0.985
0.250 0.750 0.500
0.500 0.500 0.000
0.000 0.000 0.000
0.750 0.250 0.500
```

Material: IrSe2S
Method: DFT, GGA-PBE
State: relaxed

## Properties
formation energy from raw total energies	14.3	meV/atom

```
IrSe2S
1.0
5.482 0.000 0.000
-1.423 5.741 0.000
-0.741 -0.593 6.088
Ir Se S
2 4 2
direct
0.000 0.000 0.000
0.474 0.118 0.970
0.129 0.194 0.376
0.169 0.899 0.648
0.490 0.735 0.070
0.870 0.334 0.849
0.050 0.648 0.123
0.540 0.307 0.314
```

Material: LaIn2Ni2
Method: DFT, GGA-PBE
State: relaxed

## Properties
ΔH_f (0 K)	-60	meV/atom

```
LaIn2Ni2
1.0
8.118 0.000 0.000
0.000 8.118 0.000
0.000 0.000 2.968
La In Ni
2 4 4
direct
0.000 0.000 0.000
0.500 0.500 0.000
0.126 0.374 0.000
0.374 0.874 0.000
0.626 0.126 0.000
0.874 0.626 0.000
0.172 0.672 0.500
0.328 0.172 0.500
0.672 0.828 0.500
0.828 0.328 0.500
```

no.,electronic total energy (eV per atom),total moment (μB/f.u.)
1,-4.071,0.00
2,-5.186,1.07
3,-4.436,0.00
4,-7.042,5.92
5,-4.975,0.00
6,-4.454,0.00